1.
Ac2Pm6Er5 after structural relaxation. Source: Alexandria via LeMat-Bulk, functional GGA-PBE.

SG ... Pbam (55)
Crystal system ... orthorhombic
ΔH_f (0 K) ... 1.50 eV per formula unit

Unit cell a=3.692 b=12.029 c=20.508 alpha=90.00 beta=90.00 gamma=90.00
Positions (direct):
Er (0.500, 0.201, 0.947)
Er (0.500, 0.701, 0.553)
Er (0.500, 0.500, 0.000)
Er (0.500, 0.400, 0.719)
Er (0.500, 0.299, 0.447)
Er (0.500, 0.900, 0.781)
Er (0.500, 0.799, 0.053)
Er (0.500, 0.600, 0.281)
Er (0.500, 0.000, 0.500)
Er (0.500, 0.100, 0.219)
Ac (0.000, 0.161, 0.780)
Ac (0.000, 0.339, 0.280)
Ac (0.000, 0.661, 0.720)
Ac (0.000, 0.839, 0.220)
Pm (0.000, 0.942, 0.924)
Pm (0.000, 0.442, 0.576)
Pm (0.500, 0.320, 0.119)
Pm (0.500, 0.180, 0.619)
Pm (0.000, 0.577, 0.137)
Pm (0.000, 0.058, 0.076)
Pm (0.000, 0.077, 0.363)
Pm (0.000, 0.423, 0.863)
Pm (0.000, 0.558, 0.424)
Pm (0.500, 0.820, 0.381)
Pm (0.000, 0.923, 0.637)
Pm (0.500, 0.680, 0.881)

2.
SrY2Cr after structural relaxation. Source: Alexandria via LeMat-Bulk, functional GGA-PBE.

SG ... Fm-3m (225)
Energy above the most stable polymorph in this dataset ... 201.8 meV per atom
Crystal system ... cubic
ΔH_f (0 K) ... 1.91 eV per formula unit

Unit cell a=5.531 b=5.531 c=5.531 alpha=60.00 beta=60.00 gamma=60.00
Site moments in Bohr magnetons follow the coordinates.
Positions (direct):
Y (0.750, 0.750, 0.750)  0.11
Y (0.250, 0.250, 0.250)  0.11
Cr (0.000, 0.000, 0.000)  -3.65
Sr (0.500, 0.500, 0.500)  0.06

3.
OsRu3 after structural relaxation. Source: Alexandria via LeMat-Bulk, functional GGA-PBE.

SG ... P4/mmm (123)
Crystal system ... tetragonal
ΔH_f (0 K) ... 0.47 eV per formula unit

Unit cell a=2.712 b=2.712 c=7.642 alpha=90.00 beta=90.00 gamma=90.00
Positions (direct):
Ru (0.500, 0.500, 0.750)
Ru (0.000, 0.000, 0.500)
Ru (0.500, 0.500, 0.250)
Os (0.000, 0.000, 0.000)

4.
Ac2HgSb3Rh4 after structural relaxation. Source: Alexandria via LeMat-Bulk, functional GGA-PBE.

SG ... P-4m2 (115)
Formation energy (no corrections) ... -16.96 kcal/mol of atoms
Crystal system ... tetragonal

Unit cell a=4.595 b=4.595 c=10.834 alpha=90.00 beta=90.00 gamma=90.00
Positions (direct):
Rh (0.500, 0.500, 0.000)
Rh (0.000, 0.500, 0.364)
Rh (0.000, 0.000, 0.000)
Rh (0.500, 0.000, 0.636)
Ac (0.000, 0.500, 0.749)
Ac (0.500, 0.000, 0.251)
Hg (0.500, 0.500, 0.500)
Sb (0.000, 0.500, 0.126)
Sb (0.000, 0.000, 0.500)
Sb (0.500, 0.000, 0.874)

5.
TlHgPb2 after structural relaxation. Source: Alexandria via LeMat-Bulk, functional GGA-PBE.

SG ... Immm (71)
Crystal system ... orthorhombic
ΔH_f (0 K) ... 0.42 eV per formula unit

Unit cell a=7.170 b=7.170 c=7.170 alpha=52.93 beta=143.22 gamma=143.31
Positions (direct):
Tl (0.000, 0.500, 0.500)
Hg (0.000, 0.000, 0.000)
Pb (0.000, 0.767, 0.767)
Pb (0.000, 0.233, 0.233)

6.
ReTcP2O after structural relaxation. Source: Alexandria via LeMat-Bulk, functional GGA-PBE.

SG ... P4/mmm (123)
Formation energy (no corrections) ... 8.36 kcal/mol of atoms
Energy above the most stable polymorph in this dataset ... 0.0 meV per atom
Crystal system ... tetragonal

Unit cell a=4.759 b=4.759 c=3.673 alpha=90.00 beta=90.00 gamma=90.00
Site moments in Bohr magnetons follow the coordinates.
Positions (direct):
P (0.500, 0.000, 0.000)  -0.07
P (0.000, 0.500, 0.000)  -0.07
O (0.000, 0.000, 0.500)  0.03
Tc (0.500, 0.500, 0.500)  2.77
Re (0.000, 0.000, 0.000)  0.02

7.
ScP2Br after structural relaxation. Source: Alexandria via LeMat-Bulk, functional GGA-PBE.

SG ... Cm (8)
Formation energy (no corrections) ... -16.96 kcal/mol of atoms
Energy above the most stable polymorph in this dataset ... 103.2 meV per atom
Crystal system ... monoclinic

Unit cell a=4.121 b=4.121 c=7.681 alpha=79.44 beta=79.44 gamma=53.61
Positions (direct):
P (0.773, 0.773, 0.738)
P (0.001, 0.001, 0.853)
Br (0.215, 0.215, 0.340)
Sc (0.511, 0.511, 0.569)

8.
La7PCl12 after structural relaxation. Source: Alexandria via LeMat-Bulk, functional GGA-PBE.

SG ... R-3 (148)
Formation energy (no corrections) ... -49.10 kcal/mol of atoms
Crystal system ... trigonal

Unit cell a=10.182 b=9.284 c=9.284 alpha=107.43 beta=111.44 gamma=111.44
Site moments in Bohr magnetons follow the coordinates.
Positions (direct):
Cl (0.685, 0.607, 0.468)  0.00
Cl (0.379, 0.213, 0.913)  0.00
Cl (0.315, 0.393, 0.532)  0.00
Cl (0.078, 0.861, 0.393)  0.00
Cl (0.534, 0.913, 0.700)  0.00
Cl (0.621, 0.787, 0.087)  0.00
Cl (0.466, 0.087, 0.300)  0.00
Cl (0.217, 0.532, 0.139)  0.00
Cl (0.166, 0.700, 0.787)  0.00
Cl (0.783, 0.468, 0.861)  0.00
Cl (0.834, 0.300, 0.213)  0.00
Cl (0.922, 0.139, 0.607)  0.00
La (0.324, 0.298, 0.211)  0.00
La (0.026, 0.913, 0.702)  0.00
La (0.887, 0.211, 0.913)  0.00
La (0.974, 0.087, 0.298)  0.00
La (0.676, 0.702, 0.789)  0.00
La (0.113, 0.789, 0.087)  0.00
La (0.500, 0.000, 0.000)  0.14
P (0.000, 0.000, 0.000)  0.00

9.
BeRe2Au after structural relaxation. Source: Alexandria via LeMat-Bulk, functional GGA-PBE.

SG ... Cmmm (65)
Crystal system ... orthorhombic
ΔH_f (0 K) ... 1.66 eV per formula unit

Unit cell a=2.650 b=2.650 c=8.482 alpha=90.00 beta=90.00 gamma=106.01
Positions (direct):
Re (0.000, 0.000, 0.964)
Re (0.000, 0.000, 0.536)
Au (0.500, 0.500, 0.250)
Be (0.500, 0.500, 0.750)

10.
Sc2InSe after structural relaxation. Source: Alexandria via LeMat-Bulk, functional GGA-PBE.

SG ... Pmmm (47)
Formation energy (no corrections) ... -18.68 kcal/mol of atoms
Energy above the most stable polymorph in this dataset ... 177.4 meV per atom
Crystal system ... orthorhombic

Unit cell a=3.773 b=4.276 c=5.734 alpha=90.00 beta=90.00 gamma=90.00
Positions (direct):
In (0.500, 0.500, 0.875)
Sc (0.000, 0.000, 0.875)
Sc (0.500, 0.500, 0.375)
Se (0.000, 0.000, 0.375)

11.
HfZr3Sn after structural relaxation. Source: Alexandria via LeMat-Bulk, functional GGA-PBE.

SG ... Pm-3m (221)
Energy above the most stable polymorph in this dataset ... 1082.7 meV per atom
Crystal system ... cubic
ΔH_f (0 K) ... 4.48 eV per formula unit

Unit cell a=5.147 b=5.147 c=5.147 alpha=90.00 beta=90.00 gamma=90.00
Site moments in Bohr magnetons follow the coordinates.
Positions (direct):
Zr (0.500, 0.000, 0.000)  0.35
Zr (0.000, 0.000, 0.500)  0.15
Zr (0.000, 0.500, 0.000)  0.22
Sn (0.500, 0.500, 0.500)  -0.02
Hf (0.000, 0.000, 0.000)  0.04

12.
K3NbBi3Se8 after structural relaxation. Source: Alexandria via LeMat-Bulk, functional GGA-PBE.

SG ... C2/m (12)
Formation energy (no corrections) ... -17.64 kcal/mol of atoms
Crystal system ... monoclinic

Unit cell a=8.422 b=8.434 c=9.234 alpha=117.24 beta=90.00 gamma=119.95
Site moments in Bohr magnetons follow the coordinates.
Positions (direct):
Se (0.785, 0.569, 0.309)  -0.02
Se (0.239, 0.024, 0.309)  -0.02
Se (0.215, 0.431, 0.691)  -0.02
Se (0.262, 0.523, 0.285)  0.00
Se (0.785, 0.024, 0.309)  -0.02
Se (0.761, 0.976, 0.691)  -0.02
Se (0.215, 0.976, 0.691)  -0.02
Se (0.738, 0.477, 0.715)  0.00
Bi (0.500, 0.000, 0.500)  0.04
Bi (0.000, 0.500, 0.500)  0.04
Bi (0.500, 0.500, 0.500)  0.04
Nb (0.000, 0.000, 0.500)  0.91
K (0.000, 0.000, 0.000)  0.00
K (0.500, 0.500, 0.000)  0.00
K (0.000, 0.500, 0.000)  0.00

Please write out number 4 again, unchanged.
Ac2HgSb3Rh4 after structural relaxation. Source: Alexandria via LeMat-Bulk, functional GGA-PBE.

SG ... P-4m2 (115)
Formation energy (no corrections) ... -16.96 kcal/mol of atoms
Crystal system ... tetragonal

Unit cell a=4.595 b=4.595 c=10.834 alpha=90.00 beta=90.00 gamma=90.00
Positions (direct):
Rh (0.500, 0.500, 0.000)
Rh (0.000, 0.500, 0.364)
Rh (0.000, 0.000, 0.000)
Rh (0.500, 0.000, 0.636)
Ac (0.000, 0.500, 0.749)
Ac (0.500, 0.000, 0.251)
Hg (0.500, 0.500, 0.500)
Sb (0.000, 0.500, 0.126)
Sb (0.000, 0.000, 0.500)
Sb (0.500, 0.000, 0.874)